Computed, not measured: an optimized crystal structure of AcTh2Ni at the GGA-PBE level of DFT.

POSCAR file:
```
AcTh2Ni
1.0
3.9028 0.0000 0.0000
1.9514 3.3799 0.0000
1.9514 1.1266 9.4713
Ac Th Ni
1 2 1
Direct
0.4992 0.4992 0.5024
0.0591 0.0591 0.8228
0.2754 0.2754 0.1739
0.6664 0.6664 0.0009
```

Values from the calculation:
Excess energy over the best structure of this formula in the dataset, eV per atom: 0.000
SG: R3m (160)
Formation energy, meV per atom: -49.9